# 1
The following is a PBE-GGA calculation of a relaxed BaOs2 crystal, from Alexandria.

The structure in extended XYZ format:
```
3
Lattice="-0.494 2.174 -4.048 0.254 -2.385 -3.950 -3.801 -0.678 -2.538" Properties=species:S:1:pos:R:3 pbc="T T T"
Os -3.031 -0.667 -7.902
Os -1.010 -0.222 -2.634
Ba 0.000 0.000 0.000
```

Values from the calculation:
The calculation puts the formation energy at 2.86 eV/atom. As for the density of states at the Fermi level: 7.2 states/eV/cell. For the total magnetization, the calculation gives 0.0077 μB per atom.


# 2
The following is a PBE-GGA calculation of a relaxed SrSnPRh3 crystal, from Alexandria.

The structure in extended XYZ format:
```
12
Lattice="5.877 0.000 0.000 0.000 5.890 0.000 0.000 -2.945 7.494" Properties=species:S:1:pos:R:3 pbc="T T T"
Sr 4.408 0.000 3.788
Sr 1.469 2.945 3.707
Sn 1.469 0.000 5.913
Sn 4.408 2.945 1.581
P 1.469 0.000 1.089
P 4.408 2.945 6.406
Rh 1.469 0.000 3.309
Rh 0.000 1.403 0.000
Rh 2.939 4.487 0.000
Rh 2.939 1.403 0.000
Rh 0.000 4.487 0.000
Rh 4.408 2.945 4.185
```

Values from the calculation:
The calculation puts the formation energy at -0.60 eV/atom. As for the density of states at the Fermi level: 2.1 states/eV/cell. For the total magnetization, the calculation gives 0.0000 μB per atom.